[1]
# Cs2TiTc (PBE-GGA, relaxed)
data_Cs2TiTc
_chemical_formula_sum 'Cs8 Ti4 Tc4'
_cell_length_a 7.425
_cell_length_b 7.425
_cell_length_c 7.425
_cell_angle_alpha 90.00
_cell_angle_beta 90.00
_cell_angle_gamma 90.00
_space_group_name_H-M_alt 'F m -3 m'
_space_group_IT_number 225
_space_group_name_Hall '-F 4 2 3'
loop_
_atom_site_label
_atom_site_type_symbol
_atom_site_fract_x
_atom_site_fract_y
_atom_site_fract_z
Cs1 Cs 0.250 0.250 0.250
Ti1 Ti 0.000 0.000 0.000
Tc1 Tc 0.000 0.000 0.500
# DFT formation energy, eV/atom: 2.24
# Total DFT energy (no corrections), eV/atom: -2.7483

[2]
# La5PrTl2 (PBE-GGA, relaxed)
data_La5PrTl2
_chemical_formula_sum 'La10 Pr2 Tl4'
_cell_length_a 3.778
_cell_length_b 11.344
_cell_length_c 12.737
_cell_angle_alpha 90.00
_cell_angle_beta 90.00
_cell_angle_gamma 90.00
_space_group_name_H-M_alt 'I m m m'
_space_group_IT_number 71
_space_group_name_Hall '-I 2 2'
loop_
_atom_site_label
_atom_site_type_symbol
_atom_site_fract_x
_atom_site_fract_y
_atom_site_fract_z
La1 La 0.000 0.000 0.000
La2 La 0.000 0.279 0.359
Pr1 Pr 0.000 0.500 0.000
Tl1 Tl 0.000 0.000 0.273
# DFT formation energy, eV/atom: -0.15
# Total DFT energy (no corrections), eV/atom: -4.4225

[3]
# CsYBe2C (PBE-GGA, relaxed)
data_CsYBe2C
_chemical_formula_sum 'Cs1 Y1 Be2 C1'
_cell_length_a 3.950
_cell_length_b 3.950
_cell_length_c 5.944
_cell_angle_alpha 90.00
_cell_angle_beta 90.00
_cell_angle_gamma 90.00
_space_group_name_H-M_alt 'P 4/m m m'
_space_group_IT_number 123
_space_group_name_Hall '-P 4 2'
loop_
_atom_site_label
_atom_site_type_symbol
_atom_site_fract_x
_atom_site_fract_y
_atom_site_fract_z
Cs1 Cs 0.000 0.000 0.000
Y1 Y 0.500 0.500 0.000
Be1 Be 0.000 0.500 0.500
C1 C 0.000 0.000 0.500
# DFT formation energy, eV/atom: 1.49
# Total DFT energy (no corrections), eV/atom: -3.3094

[4]
# LiMg2Fe (PBE-GGA, relaxed)
data_LiMg2Fe
_chemical_formula_sum 'Li2 Mg4 Fe2'
_cell_length_a 9.239
_cell_length_b 2.827
_cell_length_c 5.428
_cell_angle_alpha 90.00
_cell_angle_beta 96.85
_cell_angle_gamma 90.00
_space_group_name_H-M_alt 'C 1 2/m 1'
_space_group_IT_number 12
loop_
_space_group_symop_operation_xyz
'x,y,z'
'-x,-y,-z'
'-x,y,-z'
'x,-y,z'
'x+1/2,y+1/2,z'
'-x+1/2,-y+1/2,-z'
'-x+1/2,y+1/2,-z'
'x+1/2,-y+1/2,z'
loop_
_atom_site_label
_atom_site_type_symbol
_atom_site_fract_x
_atom_site_fract_y
_atom_site_fract_z
Li1 Li 0.000 0.000 0.000
Mg1 Mg 0.243 0.000 0.738
Fe1 Fe 0.000 0.500 0.500
# DFT formation energy, eV/atom: 0.26
# Total DFT energy (no corrections), eV/atom: -3.1326

[5]
# Tl2InCo (PBE-GGA, relaxed)
data_Tl2InCo
_chemical_formula_sum 'Tl4 In2 Co2'
_cell_length_a 4.491
_cell_length_b 4.491
_cell_length_c 9.051
_cell_angle_alpha 90.00
_cell_angle_beta 90.00
_cell_angle_gamma 90.00
_space_group_name_H-M_alt 'I 4/m m m'
_space_group_IT_number 139
_space_group_name_Hall '-I 4 2'
loop_
_atom_site_label
_atom_site_type_symbol
_atom_site_fract_x
_atom_site_fract_y
_atom_site_fract_z
Tl1 Tl 0.000 0.500 0.250
In1 In 0.000 0.000 0.000
Co1 Co 0.000 0.000 0.500
# DFT formation energy, eV/atom: 0.54
# Total DFT energy (no corrections), eV/atom: -3.1019

[6]
# Ce2PrTh3Se6 (PBE-GGA, relaxed)
data_Ce2PrTh3Se6
_chemical_formula_sum 'Ce4 Pr2 Th6 Se12'
_cell_length_a 7.266
_cell_length_b 12.556
_cell_length_c 7.343
_cell_angle_alpha 90.00
_cell_angle_beta 109.17
_cell_angle_gamma 90.00
_space_group_name_H-M_alt 'C 1 2/m 1'
_space_group_IT_number 12
loop_
_space_group_symop_operation_xyz
'x,y,z'
'-x,-y,-z'
'-x,y,-z'
'x,-y,z'
'x+1/2,y+1/2,z'
'-x+1/2,-y+1/2,-z'
'-x+1/2,y+1/2,-z'
'x+1/2,-y+1/2,z'
loop_
_atom_site_label
_atom_site_type_symbol
_atom_site_fract_x
_atom_site_fract_y
_atom_site_fract_z
Ce1 Ce 0.000 0.167 0.000
Pr1 Pr 0.000 0.500 0.000
Th1 Th 0.000 0.000 0.500
Th2 Th 0.000 0.336 0.500
Se1 Se 0.245 0.000 0.246
Se2 Se 0.248 0.168 0.750
# Formation energy from raw total energies, eV per atom: -1.686
# Total DFT energy (no corrections), eV/atom: -6.6701

[7]
# Na3CeSm2S6 (PBE-GGA, relaxed)
data_Na3CeSm2S6
_chemical_formula_sum 'Na6 Ce2 Sm4 S12'
_cell_length_a 7.101
_cell_length_b 12.299
_cell_length_c 7.084
_cell_angle_alpha 90.00
_cell_angle_beta 109.52
_cell_angle_gamma 90.00
_space_group_name_H-M_alt 'C 1 2/m 1'
_space_group_IT_number 12
loop_
_space_group_symop_operation_xyz
'x,y,z'
'-x,-y,-z'
'-x,y,-z'
'x,-y,z'
'x+1/2,y+1/2,z'
'-x+1/2,-y+1/2,-z'
'-x+1/2,y+1/2,-z'
'x+1/2,-y+1/2,z'
loop_
_atom_site_label
_atom_site_type_symbol
_atom_site_fract_x
_atom_site_fract_y
_atom_site_fract_z
Na1 Na 0.000 0.000 0.000
Na2 Na 0.000 0.333 0.000
Ce1 Ce 0.000 0.500 0.500
Sm1 Sm 0.000 0.167 0.500
S1 S 0.242 0.000 0.732
S2 S 0.245 0.332 0.731
# Formation energy from raw total energies, eV per atom: -1.787
# Total DFT energy (no corrections), eV/atom: -5.4610

[8]
# Tb2LuRh (PBE-GGA, relaxed)
data_Tb2LuRh
_chemical_formula_sum 'Tb2 Lu1 Rh1'
_cell_length_a 3.511
_cell_length_b 3.511
_cell_length_c 8.490
_cell_angle_alpha 90.00
_cell_angle_beta 90.00
_cell_angle_gamma 90.00
_space_group_name_H-M_alt 'P 4/m m m'
_space_group_IT_number 123
_space_group_name_Hall '-P 4 2'
loop_
_atom_site_label
_atom_site_type_symbol
_atom_site_fract_x
_atom_site_fract_y
_atom_site_fract_z
Tb1 Tb 0.000 0.000 0.193
Lu1 Lu 0.500 0.500 0.500
Rh1 Rh 0.500 0.500 0.000
# DFT formation energy, eV/atom: -0.37
# Total DFT energy (no corrections), eV/atom: -5.6519

[9]
# AlAg2Br (PBE-GGA, relaxed)
data_AlAg2Br
_chemical_formula_sum 'Al1 Ag2 Br1'
_cell_length_a 5.028
_cell_length_b 5.028
_cell_length_c 3.299
_cell_angle_alpha 90.00
_cell_angle_beta 90.00
_cell_angle_gamma 90.00
_space_group_name_H-M_alt 'P 4/m m m'
_space_group_IT_number 123
_space_group_name_Hall '-P 4 2'
loop_
_atom_site_label
_atom_site_type_symbol
_atom_site_fract_x
_atom_site_fract_y
_atom_site_fract_z
Al1 Al 0.000 0.000 0.000
Ag1 Ag 0.000 0.500 0.500
Br1 Br 0.500 0.500 0.000
# Formation energy from raw total energies, eV per atom: 0.271
# Total DFT energy (no corrections), eV/atom: -2.5083

[10]
# Cs4K8Hg3 (PBE-GGA, relaxed)
data_Cs4K8Hg3
_chemical_formula_sum 'Cs4 K8 Hg3'
_cell_length_a 6.520
_cell_length_b 6.520
_cell_length_c 23.242
_cell_angle_alpha 90.00
_cell_angle_beta 90.00
_cell_angle_gamma 90.00
_space_group_name_H-M_alt 'P -4 m 2'
_space_group_IT_number 115
loop_
_space_group_symop_operation_xyz
'x,y,z'
'y,-x,-z'
'-x,-y,z'
'-y,x,-z'
'-x,y,z'
'-y,-x,-z'
'x,-y,z'
'y,x,-z'
loop_
_atom_site_label
_atom_site_type_symbol
_atom_site_fract_x
_atom_site_fract_y
_atom_site_fract_z
Cs1 Cs 0.000 0.500 0.092
Cs2 Cs 0.000 0.500 0.595
K1 K 0.000 0.000 0.248
K2 K 0.000 0.500 0.409
K3 K 0.000 0.500 0.903
K4 K 0.500 0.500 0.253
Hg1 Hg 0.000 0.000 0.000
Hg2 Hg 0.000 0.000 0.500
Hg3 Hg 0.500 0.500 0.500
# DFT formation energy, eV/atom: -0.08
# Total DFT energy (no corrections), eV/atom: -0.9490

[11]
# Mg2SbSe (PBE-GGA, relaxed)
data_Mg2SbSe
_chemical_formula_sum 'Mg2 Sb1 Se1'
_cell_length_a 3.748
_cell_length_b 3.748
_cell_length_c 7.403
_cell_angle_alpha 90.00
_cell_angle_beta 90.00
_cell_angle_gamma 90.00
_space_group_name_H-M_alt 'P 4 m m'
_space_group_IT_number 99
loop_
_space_group_symop_operation_xyz
'x,y,z'
'-y,x,z'
'-x,-y,z'
'y,-x,z'
'-x,y,z'
'y,x,z'
'x,-y,z'
'-y,-x,z'
loop_
_atom_site_label
_atom_site_type_symbol
_atom_site_fract_x
_atom_site_fract_y
_atom_site_fract_z
Mg1 Mg 0.000 0.000 0.000
Mg2 Mg 0.500 0.500 0.435
Sb1 Sb 0.000 0.000 0.611
Se1 Se 0.500 0.500 0.088
# Formation energy from raw total energies, eV per atom: -0.675
# Total DFT energy (no corrections), eV/atom: -3.3744

[12]
# Mg2TaMo (PBE-GGA, relaxed)
data_Mg2TaMo
_chemical_formula_sum 'Mg2 Ta1 Mo1'
_cell_length_a 2.764
_cell_length_b 4.434
_cell_length_c 6.016
_cell_angle_alpha 90.00
_cell_angle_beta 90.00
_cell_angle_gamma 90.00
_space_group_name_H-M_alt 'P m m 2'
_space_group_IT_number 25
loop_
_space_group_symop_operation_xyz
'x,y,z'
'-x,-y,z'
'-x,y,z'
'x,-y,z'
loop_
_atom_site_label
_atom_site_type_symbol
_atom_site_fract_x
_atom_site_fract_y
_atom_site_fract_z
Mg1 Mg 0.000 0.000 0.000
Mg2 Mg 0.500 0.500 0.249
Ta1 Ta 0.500 0.500 0.728
Mo1 Mo 0.000 0.000 0.513
# DFT formation energy, eV/atom: 0.32
# Total DFT energy (no corrections), eV/atom: -6.1502

The lowest total DFT energy (no corrections) belongs to which entry?
Ce2PrTh3Se6

Among the records above, which one has the lowest total DFT energy (no corrections)?
Ce2PrTh3Se6

Among the records above, which one has the highest total DFT energy (no corrections)?
Cs4K8Hg3

Which value of total DFT energy (no corrections) does entry 2 give?
-4.4225 eV/atom